[1]
Entry from Alexandria via LeMat-Bulk: a PBEsol-optimized structure of CoTeW (meta-GGA SCAN).

a b c (Å): 4.2739 4.2739 4.2739
angles (deg): 60.00 60.00 60.00
Closest atoms and distances in Å follow each position.
Fractional coordinates of all 3 atoms:
Co 0.0000 0.0000 0.0000  4 W 2.62
Te 0.5000 0.5000 0.5000  4 W 2.62
W 0.2500 0.2500 0.2500  4 Co 2.62, 4 Te 2.62

Summary:
Density of states at the Fermi level, states/eV per atom: 1.251
Volume, Å³/atom: 18.40
Formation energy from raw total energies, eV per atom: 0.897


[2]
Entry from Alexandria via LeMat-Bulk: a PBEsol-optimized structure of BaZnTe2 (meta-GGA SCAN).

a b c (Å): 4.2830 4.2830 7.6348
angles (deg): 90.00 90.00 90.00
Closest atoms and distances in Å follow each position.
Fractional coordinates of all 4 atoms:
Ba 0.5000 0.5000 0.8169  5 Te 3.29-3.39
Te 0.0000 0.0000 0.9851  1 Zn 2.59
Te 0.5000 0.5000 0.3734  4 Zn 3.05, 1 Ba 3.39
Zn 0.0000 0.0000 0.3247  1 Te 2.59

Summary:
Density of states at the Fermi level, states/eV per atom: 0.304
Volume, Å³/atom: 35.01
Formation energy from raw total energies, eV per atom: -0.795


[3]
Entry from Alexandria via LeMat-Bulk: a PBEsol-optimized structure of ZrTe2Rh (meta-GGA SCAN).

a b c (Å): 4.9105 4.9105 4.9105
angles (deg): 60.00 60.00 60.00
Closest atoms and distances in Å follow each position.
Fractional coordinates of all 4 atoms:
Rh 0.5000 0.5000 0.5000  4 Zr 3.01, 4 Te 3.01
Te 0.0000 0.0000 0.0000  4 Zr 3.01, 4 Te 3.01
Te 0.2500 0.2500 0.2500  4 Te 3.01, 4 Rh 3.01
Zr 0.7500 0.7500 0.7500  4 Te 3.01, 4 Rh 3.01

Summary:
Density of states at the Fermi level, states/eV per atom: 0.822
Volume, Å³/atom: 20.93
Formation energy from raw total energies, eV per atom: -0.046


[4]
Entry from Alexandria via LeMat-Bulk: a PBEsol-optimized structure of CrFe2Ru (meta-GGA SCAN).

a b c (Å): 3.5390 3.5390 4.3736
angles (deg): 113.87 113.87 90.00
Closest atoms and distances in Å follow each position.
Fractional coordinates of all 4 atoms:
Ru 0.5000 0.5000 0.0000  4 Cr 2.50, 8 Fe 2.52
Fe 0.7500 0.2500 0.5000  4 Fe 2.50, 4 Ru 2.52, 4 Cr 2.52
Fe 0.2500 0.7500 0.5000  4 Fe 2.50, 4 Ru 2.52, 4 Cr 2.52
Cr 0.0000 0.0000 0.0000  4 Ru 2.50, 8 Fe 2.52

Summary:
Density of states at the Fermi level, states/eV per atom: 1.106
Volume, Å³/atom: 11.23
Formation energy from the elements, meV per atom: 110


[5]
Entry from Alexandria via LeMat-Bulk: a PBEsol-optimized structure of YI3Cl (meta-GGA SCAN).

a b c (Å): 5.8755 5.8755 5.8755
angles (deg): 90.00 90.00 90.00
Closest atoms and distances in Å follow each position.
Fractional coordinates of all 5 atoms:
I 0.0000 0.5000 0.0000  2 Y 2.94
I 0.0000 0.0000 0.5000  2 Y 2.94
I 0.5000 0.0000 0.0000  2 Y 2.94
Y 0.0000 0.0000 0.0000  6 I 2.94
Cl 0.5000 0.5000 0.5000  12 I 4.15

Summary:
Density of states at the Fermi level, states/eV per atom: 1.850
Volume, Å³/atom: 40.57
Formation energy from raw total energies, eV per atom: -0.897


[6]
Entry from Alexandria via LeMat-Bulk: a PBEsol-optimized structure of Li2FeRu (meta-GGA SCAN).

a b c (Å): 3.1342 3.1342 4.9073
angles (deg): 90.00 90.00 90.00
Closest atoms and distances in Å follow each position.
Fractional coordinates of all 4 atoms:
Fe 0.5000 0.5000 0.5000  2 Ru 2.45, 8 Li 2.54
Li 0.0000 0.0000 0.7532  2 Li 2.42-2.48, 4 Ru 2.53, 4 Fe 2.54
Li 0.0000 0.0000 0.2468  2 Li 2.42-2.48, 4 Ru 2.53, 4 Fe 2.54
Ru 0.5000 0.5000 0.0000  2 Fe 2.45, 8 Li 2.53

Summary:
Density of states at the Fermi level, states/eV per atom: 0.546
Volume, Å³/atom: 12.05
Formation energy from the elements, meV per atom: 482


[7]
Entry from Alexandria via LeMat-Bulk: a PBEsol-optimized structure of MnAl2Br (meta-GGA SCAN).

a b c (Å): 3.0779 4.7385 4.7598
angles (deg): 90.00 90.00 90.01
Closest atoms and distances in Å follow each position.
Fractional coordinates of all 4 atoms:
Mn 0.3750 0.7817 0.5000  2 Br 2.71, 8 Al 2.71-2.95
Al 0.8749 0.9569 0.0000  2 Br 2.62, 2 Al 2.76
Al 0.8750 0.2532 0.5000  4 Mn 2.71-2.94, 2 Al 2.76
Br 0.3750 0.5082 0.0000  2 Al 2.62, 2 Mn 2.71

Summary:
Density of states at the Fermi level, states/eV per atom: 0.406
Volume, Å³/atom: 17.36
Formation energy from raw total energies, eV per atom: 0.164


[8]
Entry from Alexandria via LeMat-Bulk: a PBEsol-optimized structure of TiCrAs3 (meta-GGA SCAN).

a b c (Å): 4.7870 4.7870 4.7870
angles (deg): 90.00 90.00 90.00
Closest atoms and distances in Å follow each position.
Fractional coordinates of all 5 atoms:
Cr 0.5000 0.5000 0.5000  12 As 3.38
As 0.0000 0.5000 0.0000  2 Ti 2.39
As 0.0000 0.0000 0.5000  2 Ti 2.39
As 0.5000 0.0000 0.0000  2 Ti 2.39
Ti 0.0000 0.0000 0.0000  6 As 2.39

Summary:
Density of states at the Fermi level, states/eV per atom: 0.506
Volume, Å³/atom: 21.94
Formation energy from the elements, meV per atom: 247


Question: Which value of volume does entry 1 give?
Answer: 18.40 Å³/atom


Question: Look up the volume of the seventh one.
Answer: 17.36 Å³/atom


Question: Which formula does entry 2 have?
Answer: BaZnTe2